[1]
## NaCaNdAl (PBE)

Data for an optimized crystal structure of NaCaNdAl.

Lattice parameters (Å, degrees): 5.4723 5.4723 5.4723 60.00 60.00 60.00
With the nearest neighbours (Å) after each atom.
Fractional positions:
Na (0.2500, 0.2500, 0.2500)  4 Ca 3.35, 4 Nd 3.35
Ca (0.5000, 0.5000, 0.5000)  4 Al 3.35, 4 Na 3.35
Nd (0.0000, 0.0000, 0.0000)  4 Na 3.35, 4 Al 3.35
Al (0.7500, 0.7500, 0.7500)  4 Nd 3.35, 4 Ca 3.35

Values from the calculation:
space-group type	No. 216
energy of formation	-0.23	eV per formula unit
density of states at the Fermi level	3.51	states/eV/f.u.

---

[2]
## Na3CaAl3Si3SO16 (PBE)

Data for an optimized crystal structure of Na3CaAl3Si3SO16.

Lattice parameters (Å, degrees): 7.9025 7.8803 7.8417 69.71 71.50 109.37
With the nearest neighbours (Å) after each atom.
Fractional positions:
Na (0.6183, 0.6176, 0.3863)  4 O 2.31-2.55
Na (0.3961, 0.0012, 0.0032)  4 O 2.28-2.50
Na (0.9972, 0.3829, 0.0071)  5 O 2.37-2.61
Ca (0.0023, 0.9728, 0.6388)  5 O 2.34-2.57
Al (0.2496, 0.7479, 0.5043)  4 O 1.72-1.78
Al (0.7538, 0.4934, 0.7621)  4 O 1.73-1.78
Al (0.2481, 0.4993, 0.2502)  4 O 1.72-1.80
Si (0.4974, 0.2501, 0.2626)  4 O 1.63-1.67
Si (0.7510, 0.2404, 0.5075)  4 O 1.62-1.66
Si (0.5021, 0.7448, 0.7477)  4 O 1.62-1.68
S (0.9958, 0.0142, 0.9777)  4 O 1.48-1.51
O (0.1927, 0.0258, 0.8553)  1 S 1.50
O (0.9853, 0.1898, 0.8331)  1 S 1.50
O (0.8244, 0.8151, 0.0283)  1 S 1.51
O (0.9785, 0.0226, 0.1675)  1 S 1.48
O (0.7139, 0.3836, 0.6063)  1 Si 1.62, 1 Al 1.77
O (0.4005, 0.3922, 0.3087)  1 Si 1.63, 1 Al 1.77
O (0.4233, 0.7134, 0.5885)  1 Si 1.62, 1 Al 1.76
O (0.2811, 0.6998, 0.3013)  2 Al 1.72
O (0.5921, 0.2956, 0.0247)  1 Si 1.63, 1 Al 1.76
O (0.6045, 0.9922, 0.6949)  2 Si 1.66-1.68
O (0.0031, 0.6292, 0.7128)  2 Al 1.73-1.75
O (0.3125, 0.5967, 0.9852)  1 Si 1.62, 1 Al 1.77
O (0.6871, 0.2848, 0.3211)  2 Si 1.66-1.67
O (0.9875, 0.2844, 0.4044)  1 Si 1.64, 1 Al 1.80
O (0.6945, 0.6988, 0.7075)  1 Si 1.64, 1 Al 1.78
O (0.3076, 0.0116, 0.4129)  1 Si 1.63, 1 Al 1.78

Values from the calculation:
energy above the lowest structure with this stoichiometry	1.9	kJ/mol of atoms
space-group type	No. 1
formation energy without anion corrections	-2.61	eV/atom
density of states at the Fermi level	0.00	states/eV/f.u.

---

[3]
## Na3CaAl3Si3SO16 (PBE)

Data for an optimized crystal structure of Na3CaAl3Si3SO16.

Lattice parameters (Å, degrees): 9.0971 9.0971 9.0971 90.45 90.45 90.45
With the nearest neighbours (Å) after each atom.
Fractional positions:
Na (0.1951, 0.1969, 0.8124)  4 O 2.31-2.46
Na (0.1969, 0.8124, 0.1951)  4 O 2.31-2.46
Na (0.3124, 0.6969, 0.6951)  4 O 2.31-2.46
Na (0.6951, 0.3124, 0.6969)  4 O 2.31-2.46
Na (0.6969, 0.6951, 0.3124)  4 O 2.31-2.46
Na (0.8124, 0.1951, 0.1969)  4 O 2.31-2.46
Ca (0.3127, 0.3127, 0.3127)  6 O 2.41-2.61
Ca (0.8127, 0.8127, 0.8127)  6 O 2.41-2.61
Al (0.2516, 0.5038, 0.0028)  4 O 1.75-1.77
Al (0.5028, 0.0038, 0.7516)  4 O 1.75-1.77
Al (0.5038, 0.0028, 0.2516)  4 O 1.75-1.77
Al (0.7516, 0.5028, 0.0038)  4 O 1.75-1.77
Al (0.0028, 0.2516, 0.5038)  4 O 1.75-1.77
Al (0.0038, 0.7516, 0.5028)  4 O 1.75-1.77
Si (0.0053, 0.5000, 0.2525)  4 O 1.63-1.65
Si (0.2525, 0.0053, 0.5000)  4 O 1.63-1.65
Si (0.5053, 0.7525, 0.0000)  4 O 1.63-1.65
Si (0.5000, 0.2525, 0.0053)  4 O 1.63-1.65
Si (0.7525, 0.0000, 0.5053)  4 O 1.63-1.65
Si (0.0000, 0.5053, 0.7525)  4 O 1.63-1.65
S (0.9901, 0.9901, 0.9901)  4 O 1.48-1.50
S (0.4901, 0.4901, 0.4901)  4 O 1.48-1.50
O (0.0543, 0.3544, 0.3478)  1 Si 1.65, 1 Al 1.77
O (0.0460, 0.6550, 0.6642)  1 Si 1.64, 1 Al 1.76
O (0.0846, 0.0846, 0.0846)  1 S 1.48
O (0.0175, 0.8294, 0.0144)  1 S 1.50
O (0.1378, 0.4526, 0.8546)  1 Si 1.63, 1 Al 1.75
O (0.1550, 0.5460, 0.1642)  1 Si 1.64, 1 Al 1.76
O (0.1642, 0.1550, 0.5460)  1 Si 1.64, 1 Al 1.76
O (0.1487, 0.8664, 0.4493)  1 Si 1.63, 1 Al 1.75
O (0.3478, 0.0543, 0.3544)  1 Si 1.65, 1 Al 1.77
O (0.3546, 0.9526, 0.6378)  1 Si 1.63, 1 Al 1.75
O (0.3544, 0.3478, 0.0543)  1 Si 1.65, 1 Al 1.77
O (0.3664, 0.6487, 0.9493)  1 Si 1.63, 1 Al 1.75
O (0.5144, 0.3294, 0.5175)  1 S 1.50
O (0.3294, 0.5175, 0.5144)  1 S 1.50
O (0.4493, 0.1487, 0.8664)  1 Si 1.63, 1 Al 1.75
O (0.4526, 0.8546, 0.1378)  1 Si 1.63, 1 Al 1.75
O (0.5460, 0.1642, 0.1550)  1 Si 1.64, 1 Al 1.76
O (0.5543, 0.8478, 0.8544)  1 Si 1.65, 1 Al 1.77
O (0.5175, 0.5144, 0.3294)  1 S 1.50
O (0.5846, 0.5846, 0.5846)  1 S 1.48
O (0.6378, 0.3546, 0.9526)  1 Si 1.63, 1 Al 1.75
O (0.6550, 0.6642, 0.0460)  1 Si 1.64, 1 Al 1.76
O (0.6642, 0.0460, 0.6550)  1 Si 1.64, 1 Al 1.76
O (0.6487, 0.9493, 0.3664)  1 Si 1.63, 1 Al 1.75
O (0.8546, 0.1378, 0.4526)  1 Si 1.63, 1 Al 1.75
O (0.8478, 0.8544, 0.5543)  1 Si 1.65, 1 Al 1.77
O (0.8544, 0.5543, 0.8478)  1 Si 1.65, 1 Al 1.77
O (0.8664, 0.4493, 0.1487)  1 Si 1.63, 1 Al 1.75
O (0.0144, 0.0175, 0.8294)  1 S 1.50
O (0.8294, 0.0144, 0.0175)  1 S 1.50
O (0.9493, 0.3664, 0.6487)  1 Si 1.63, 1 Al 1.75
O (0.9526, 0.6378, 0.3546)  1 Si 1.63, 1 Al 1.75

Values from the calculation:
energy above the lowest structure with this stoichiometry	0.0	kJ/mol of atoms
space-group type	No. 161
formation energy without anion corrections	-2.63	eV/atom
density of states at the Fermi level	0.00	states/eV/f.u.

---

[4]
## NaCaAlSi2O7 (PBE)

Data for an optimized crystal structure of NaCaAlSi2O7.

Lattice parameters (Å, degrees): 7.6959 5.1285 7.7172 88.55 90.00 90.00
With the nearest neighbours (Å) after each atom.
Fractional positions:
Na (0.1624, 0.4919, 0.4303)  5 O 2.43-2.69
Na (0.6624, 0.5081, 0.5697)  5 O 2.43-2.69
Ca (0.8458, 0.4867, 0.0935)  6 O 2.38-2.56
Ca (0.3458, 0.5133, 0.9065)  6 O 2.38-2.56
Al (0.4993, 0.9994, 0.2462)  4 O 1.76-1.79
Al (0.9993, 0.0006, 0.7538)  4 O 1.76-1.79
Si (0.3579, 0.0414, 0.6115)  4 O 1.60-1.69
Si (0.8579, 0.9586, 0.3885)  4 O 1.60-1.69
Si (0.6420, 0.0507, 0.8953)  4 O 1.60-1.67
Si (0.1420, 0.9493, 0.1047)  4 O 1.60-1.67
O (0.4059, 0.1666, 0.4197)  1 Si 1.64, 1 Al 1.76
O (0.9059, 0.8334, 0.5803)  1 Si 1.64, 1 Al 1.76
O (0.5766, 0.2055, 0.0719)  1 Si 1.67, 1 Al 1.79
O (0.0766, 0.7945, 0.9281)  1 Si 1.67, 1 Al 1.79
O (0.3311, 0.8129, 0.1508)  1 Si 1.65, 1 Al 1.78
O (0.8311, 0.1871, 0.8492)  1 Si 1.65, 1 Al 1.78
O (0.6778, 0.8127, 0.3235)  1 Si 1.66, 1 Al 1.77
O (0.1778, 0.1873, 0.6765)  1 Si 1.66, 1 Al 1.77
O (0.0068, 0.8286, 0.2554)  2 Si 1.67-1.69
O (0.5068, 0.1714, 0.7446)  2 Si 1.67-1.69
O (0.3527, 0.7297, 0.6303)  1 Si 1.60
O (0.8527, 0.2703, 0.3697)  1 Si 1.60
O (0.6415, 0.7391, 0.9169)  1 Si 1.60
O (0.1415, 0.2609, 0.0831)  1 Si 1.60

Values from the calculation:
energy above the lowest structure with this stoichiometry	0.0	kJ/mol of atoms
space-group type	No. 4
formation energy without anion corrections	-2.86	eV/atom
density of states at the Fermi level	0.00	states/eV/f.u.

---

[5]
## NaCaAlSi2O7 (PBE)

Data for an optimized crystal structure of NaCaAlSi2O7.

Lattice parameters (Å, degrees): 7.7088 7.7088 5.1164 90.00 90.00 90.21
With the nearest neighbours (Å) after each atom.
Fractional positions:
Na (0.3415, 0.3415, 0.5150)  6 O 2.52-2.68
Na (0.6585, 0.6585, 0.5150)  6 O 2.52-2.68
Ca (0.1615, 0.8385, 0.4834)  6 O 2.36-2.54
Ca (0.8385, 0.1615, 0.4834)  6 O 2.36-2.54
Al (0.0000, 0.5000, 0.0021)  4 O 1.77-1.78
Al (0.5000, 0.0000, 0.0021)  4 O 1.77-1.78
Si (0.1420, 0.1420, 0.9546)  4 O 1.60-1.70
Si (0.3566, 0.6434, 0.0443)  4 O 1.60-1.66
Si (0.8580, 0.8580, 0.9546)  4 O 1.60-1.70
Si (0.6434, 0.3566, 0.0443)  4 O 1.60-1.66
O (0.1346, 0.1346, 0.2677)  1 Si 1.60
O (0.3430, 0.6570, 0.7330)  1 Si 1.60
O (0.8654, 0.8654, 0.2677)  1 Si 1.60
O (0.6570, 0.3430, 0.7330)  1 Si 1.60
O (0.5000, 0.5000, 0.1520)  2 Si 1.66
O (0.0000, 0.0000, 0.8179)  2 Si 1.70
O (0.8279, 0.4112, 0.1915)  1 Si 1.66, 1 Al 1.78
O (0.6744, 0.9169, 0.8159)  1 Si 1.65, 1 Al 1.77
O (0.1721, 0.5888, 0.1915)  1 Si 1.66, 1 Al 1.78
O (0.3256, 0.0831, 0.8159)  1 Si 1.65, 1 Al 1.77
O (0.0831, 0.3256, 0.8159)  1 Si 1.65, 1 Al 1.77
O (0.4112, 0.8279, 0.1915)  1 Si 1.66, 1 Al 1.78
O (0.9169, 0.6744, 0.8159)  1 Si 1.65, 1 Al 1.77
O (0.5888, 0.1721, 0.1915)  1 Si 1.66, 1 Al 1.78

Values from the calculation:
energy above the lowest structure with this stoichiometry	0.4	kJ/mol of atoms
space-group type	No. 35
formation energy without anion corrections	-2.85	eV/atom
density of states at the Fermi level	0.00	states/eV/f.u.

---

[6]
## NaCaAlPb (PBE)

Data for an optimized crystal structure of NaCaAlPb.

Lattice parameters (Å, degrees): 5.3504 5.3504 5.3504 60.00 60.00 60.00
With the nearest neighbours (Å) after each atom.
Fractional positions:
Pb (0.7500, 0.7500, 0.7500)  4 Na 3.28, 4 Ca 3.28
Na (0.0000, 0.0000, 0.0000)  4 Pb 3.28, 4 Al 3.28
Ca (0.5000, 0.5000, 0.5000)  4 Pb 3.28, 4 Al 3.28
Al (0.2500, 0.2500, 0.2500)  4 Na 3.28, 4 Ca 3.28

Values from the calculation:
space-group type	No. 216
energy of formation	-0.51	eV per formula unit
density of states at the Fermi level	1.68	states/eV/f.u.

---

[7]
## NaCa2AlPd (PBE)

Data for an optimized crystal structure of NaCa2AlPd.

Lattice parameters (Å, degrees): 5.6581 5.6581 4.8338 90.00 90.00 90.00
With the nearest neighbours (Å) after each atom.
Fractional positions:
Na (0.5000, 0.5000, 0.5000)  8 Ca 3.72, 4 Al 4.00
Ca (0.0000, 0.5000, 0.0000)  2 Pd 2.83
Ca (0.5000, 0.0000, 0.0000)  2 Pd 2.83
Al (0.0000, 0.0000, 0.5000)  2 Pd 2.42
Pd (0.0000, 0.0000, 0.0000)  2 Al 2.42

Values from the calculation:
space-group type	No. 123
energy of formation	-1.43	eV per formula unit
density of states at the Fermi level	3.36	states/eV/f.u.

---

[8]
## NaCaAlPd2 (PBE)

Data for an optimized crystal structure of NaCaAlPd2.

Lattice parameters (Å, degrees): 5.0903 5.6525 5.0903 90.00 90.00 90.00
With the nearest neighbours (Å) after each atom.
Fractional positions:
Na (0.5000, 0.5000, 0.5000)  4 Al 3.60, 8 Pd 3.80
Ca (0.0000, 0.0000, 0.0000)  4 Pd 2.55, 2 Al 2.83
Al (0.0000, 0.5000, 0.0000)  2 Ca 2.83
Pd (0.0000, 0.0000, 0.5000)  2 Ca 2.55
Pd (0.5000, 0.0000, 0.0000)  2 Ca 2.55

Values from the calculation:
space-group type	No. 123
energy of formation	2.92	eV per formula unit
density of states at the Fermi level	2.53	states/eV/f.u.